Entry 1:
A plane-wave DFT calculation with PBE was carried out for Sm3InAs after structural relaxation.

Geometry as CIF:
```
data_Sm3InAs
_cell_length_a 4.7096
_cell_length_b 7.0119
_cell_length_c 9.0355
_cell_angle_alpha 90.08
_cell_angle_beta 90.00
_cell_angle_gamma 90.00
_space_group_name_H-M_alt 'P 1'
_space_group_IT_number 1
_space_group_name_Hall 'P 1'
loop_
_atom_site_label
_atom_site_type_symbol
_atom_site_fract_x
_atom_site_fract_y
_atom_site_fract_z
In1 In 0.2500 0.7506 0.8493
In2 In 0.7500 0.2494 0.1507
Sm1 Sm 0.2500 0.2509 0.9306
Sm2 Sm 0.7500 0.9960 0.6724
Sm3 Sm 0.7500 0.7491 0.0694
Sm4 Sm 0.2500 0.4954 0.3279
Sm5 Sm 0.7500 0.5046 0.6721
Sm6 Sm 0.2500 0.0040 0.3276
As1 As 0.7500 0.7500 0.3991
As2 As 0.2500 0.2500 0.6009
```

Properties
ΔE_f: -71.34 kJ per mole of atoms
DFT total energy: -5.048 eV/atom
theoretical density: 7.13 Mg/m³
space-group type: P2_1/m, No. 11
crystal system: monoclinic

***

Entry 2:
A plane-wave DFT calculation with PBE was carried out for Sm4InTe2As after structural relaxation.

Geometry as CIF:
```
data_Sm4InTe2As
_cell_length_a 4.3073
_cell_length_b 7.6769
_cell_length_c 7.6915
_cell_angle_alpha 108.54
_cell_angle_beta 90.00
_cell_angle_gamma 90.00
_space_group_name_H-M_alt 'P 1'
_space_group_IT_number 1
_space_group_name_Hall 'P 1'
loop_
_atom_site_label
_atom_site_type_symbol
_atom_site_fract_x
_atom_site_fract_y
_atom_site_fract_z
Sm1 Sm 0.5000 0.2342 0.2266
Sm2 Sm 0.0000 0.2449 0.7596
Sm3 Sm 0.5000 0.7658 0.7734
Sm4 Sm 0.0000 0.7551 0.2404
Te1 Te 0.5000 0.0000 0.5000
Te2 Te 0.0000 0.5000 0.5000
As1 As 0.0000 0.0000 0.0000
In1 In 0.5000 0.5000 0.0000
```

Properties
DFT total energy: -5.257 eV/atom
theoretical density: 7.21 Mg/m³
space-group type: P2/m, No. 10
crystal system: monoclinic
formation energy without anion corrections: -1.188 eV per atom